Record 1
MgTiBeRh, optimized geometry, DFT PBE-GGA; raw total energy = -21.781 eV/f.u.; E_form = -303 meV per atom; SG = No. 216
1.0
4.324 0.000 0.000
2.162 3.744 0.000
2.162 1.248 3.530
Be Mg Rh Ti
1 1 1 1
Cartesian
6.485 3.744 2.648
4.324 2.496 1.765
2.162 1.248 0.883
0.000 0.000 0.000

Record 2
TmZrIrO6, optimized geometry, DFT PBE-GGA; raw total energy = -72.447 eV/f.u.; uncorrected formation energy = -2313 meV per atom; SG = No. 163
1.0
-4.970 -0.418 1.797
3.028 -4.328 -0.453
3.175 1.272 9.076
Tm Zr Ir O
2 2 2 12
Cartesian
0.000 0.000 0.000
1.587 0.636 4.538
1.156 -2.707 2.566
0.077 -0.767 7.854
-1.510 -1.403 3.316
2.743 -2.071 7.104
-0.914 -2.893 2.126
-3.427 -1.699 2.838
3.312 -3.581 5.927
4.660 -1.775 7.582
0.411 -1.145 3.798
-1.769 -2.734 4.783
2.516 -3.417 8.562
-2.079 0.107 4.493
3.002 -0.740 5.637
-1.283 -0.057 1.858
0.822 -2.329 6.623
2.146 -0.581 8.294

Record 3
TlGaW2, optimized geometry, DFT PBE-GGA; raw total energy = -27.549 eV/f.u.; E_form = 938 meV per atom; energy above the lowest structure with this stoichiometry = 0.000 eV/atom; SG = No. 122
1.0
3.940 0.000 0.000
0.000 3.940 0.000
1.970 1.970 9.977
Tl Ga W
2 2 4
Cartesian
0.000 0.000 0.000
3.940 1.970 4.989
1.970 1.970 0.000
1.970 3.940 4.989
2.801 0.985 2.494
1.138 2.955 2.494
2.955 3.108 7.483
4.924 4.771 7.483

Record 4
Sc2FeNiAs, optimized geometry, DFT PBE-GGA; raw total energy = -31.129 eV/f.u.; E_form = 86 meV per atom; SG = No. 123
1.0
-2.025 -1.738 -3.904
1.628 -3.826 0.859
-3.870 -1.087 2.491
Sc Ni As Fe
2 1 1 1
Cartesian
-1.935 -0.543 1.246
-1.012 -0.869 -1.952
0.814 -1.913 0.430
-2.134 -3.326 -0.277
0.000 0.000 0.000

Record 5
Nb2CoC, optimized geometry, DFT PBE-GGA; raw total energy = -35.444 eV/f.u.; E_form = 256 meV per atom; SG = No. 122
1.0
6.199 0.000 0.000
0.000 6.199 0.000
3.099 3.099 2.883
Nb Co C
4 2 2
Cartesian
4.398 1.550 0.721
1.801 4.649 0.721
4.649 4.900 2.163
7.748 7.497 2.163
0.000 0.000 0.000
6.199 3.099 1.442
3.099 3.099 0.000
3.099 6.199 1.442

Record 6
Pd3Pt2Rh, optimized geometry, DFT PBE-GGA; raw total energy = -34.971 eV/f.u.; E_form = 7 meV per atom; energy above the lowest structure with this stoichiometry = 0.000 eV/atom; SG = No. 123
1.0
2.779 0.000 0.000
0.000 2.779 0.000
0.000 0.000 11.814
Pd Pt Rh
3 2 1
Cartesian
0.000 0.000 0.000
0.000 0.000 7.809
0.000 0.000 4.005
1.389 1.389 9.806
1.389 1.389 2.008
1.389 1.389 5.907

Record 7
LaSmSc2, optimized geometry, DFT PBE-GGA; raw total energy = -21.987 eV/f.u.; E_form = 81 meV per atom; energy above the lowest structure with this stoichiometry = 0.028 eV/atom; SG = No. 160
1.0
-3.466 -0.301 0.345
-1.357 -1.301 2.948
-2.069 9.693 5.398
La Sm Sc
1 1 2
Cartesian
-3.215 -1.065 2.196
-3.445 4.038 4.342
-1.953 7.128 4.319
-1.723 2.035 2.178

Record 8
Cs3TeF, optimized geometry, DFT PBE-GGA; raw total energy = -15.644 eV/f.u.; uncorrected formation energy = -1614 meV per atom; energy above the lowest structure with this stoichiometry = 0.070 eV/atom; SG = No. 194
1.0
5.436 -3.138 0.000
0.000 6.277 0.000
0.000 0.000 15.834
Cs Te F
6 2 2
Cartesian
0.000 0.000 3.958
0.000 0.000 11.875
1.812 3.138 14.631
1.812 3.138 9.119
3.624 0.000 6.714
3.624 0.000 1.202
0.000 0.000 0.000
0.000 0.000 7.917
1.812 3.138 11.875
3.624 0.000 3.958

Record 9
BeHg5, optimized geometry, DFT PBE-GGA; raw total energy = -4.092 eV/f.u.; E_form = 191 meV per atom; energy above the lowest structure with this stoichiometry = 0.000 eV/atom; SG = No. 65
1.0
8.757 5.026 -0.699
-9.351 -3.183 -2.206
-1.873 3.638 2.691
Be Hg
1 5
Cartesian
0.000 0.000 0.000
-1.948 0.173 -1.590
1.354 1.670 -1.315
-4.568 1.229 -0.384
2.101 4.252 0.171
-0.936 1.819 1.346

Record 10
Tb3Ho2Tc2, optimized geometry, DFT PBE-GGA; raw total energy = -44.198 eV/f.u.; E_form = -60 meV per atom; SG = No. 12
1.0
-1.307 -3.450 -1.003
4.431 1.690 -4.298
3.466 -3.325 6.919
Tb Ho Tc
3 2 2
Cartesian
-0.653 -1.725 -0.502
1.787 -3.174 1.302
4.804 -1.911 0.315
2.520 -2.351 -2.482
4.071 -2.734 4.099
4.494 -4.361 1.857
2.097 -0.725 -0.239

Record 11
Cu2TcSnBi, optimized geometry, DFT PBE-GGA; raw total energy = -21.969 eV/f.u.; E_form = 895 meV per atom; SG = No. 123
1.0
4.793 0.000 0.000
0.000 5.071 0.000
0.000 0.000 4.793
Tc Bi Cu Sn
1 1 2 1
Cartesian
0.000 0.000 0.000
2.396 2.535 2.396
0.000 0.000 2.396
2.396 0.000 0.000
0.000 2.535 0.000

Record 12
NaCa2Rh, optimized geometry, DFT PBE-GGA; raw total energy = -12.508 eV/f.u.; E_form = 41 meV per atom; SG = No. 122
1.0
8.464 0.000 0.000
0.000 8.464 0.000
4.232 4.232 3.383
Na Ca Rh
2 4 2
Cartesian
4.232 4.232 0.000
4.232 8.464 1.691
7.005 2.116 0.846
1.459 6.348 0.846
6.348 5.691 2.537
10.580 11.236 2.537
0.000 0.000 0.000
8.464 4.232 1.691

Record 13
ScSi2Ni4, optimized geometry, DFT PBE-GGA; raw total energy = -45.008 eV/f.u.; uncorrected formation energy = -672 meV per atom; SG = No. 136
1.0
-2.975 -1.829 0.894
2.203 -0.308 6.697
-3.321 6.073 1.372
Sc Si Ni
2 4 8
Cartesian
-1.488 -0.915 0.447
-0.559 2.882 4.034
-2.093 4.654 2.556
0.974 1.110 5.513
-2.296 3.249 6.276
-1.798 0.686 2.688
-0.931 2.012 1.019
-0.188 3.752 7.050
-3.063 2.577 2.349
-1.031 1.358 6.615
-3.345 4.031 4.384
-0.749 -0.096 4.579
0.462 0.403 2.362
-1.581 5.362 5.707

Record 14
TaBeIr, optimized geometry, DFT PBE-GGA; raw total energy = -24.646 eV/f.u.; E_form = -69 meV per atom; energy above the lowest structure with this stoichiometry = 0.553 eV/atom; SG = No. 156
1.0
2.842 0.000 0.000
-1.421 2.461 0.000
0.000 0.000 6.094
Be Ir Ta
1 1 1
Cartesian
0.000 0.000 0.128
1.421 0.820 1.852
0.000 1.641 4.114

Record 15
DyScZnCd, optimized geometry, DFT PBE-GGA; raw total energy = -14.332 eV/f.u.; E_form = -302 meV per atom; energy above the lowest structure with this stoichiometry = 0.027 eV/atom; SG = No. 216
1.0
5.036 0.000 0.000
2.518 4.361 0.000
2.518 1.454 4.112
Sc Zn Cd Dy
1 1 1 1
Cartesian
0.000 0.000 0.000
2.518 1.454 1.028
7.554 4.361 3.084
5.036 2.907 2.056

Record 16
ScSi2Mo, optimized geometry, DFT PBE-GGA; raw total energy = -29.376 eV/f.u.; uncorrected formation energy = -342 meV per atom; energy above the lowest structure with this stoichiometry = 0.196 eV/atom; SG = No. 71
1.0
-2.737 -0.833 -3.820
-1.106 -4.630 0.344
-0.590 3.839 2.774
Mo Sc Si
1 1 2
Cartesian
-1.809 -1.761 0.690
-2.624 0.137 -1.392
-0.013 -0.019 -0.012
-1.908 -2.713 -1.726

Record 17
Sr2ReW, optimized geometry, DFT PBE-GGA; raw total energy = -26.668 eV/f.u.; E_form = 524 meV per atom; energy above the lowest structure with this stoichiometry = 0.000 eV/atom; SG = No. 8
1.0
-2.367 -3.539 -0.296
-0.881 -2.277 3.501
-8.382 2.803 2.349
Re Sr W
1 2 1
Cartesian
-3.884 -0.119 1.560
-4.031 -5.315 3.345
-7.933 -2.763 4.024
-4.844 -2.138 2.607

Record 18
In2FeAu, optimized geometry, DFT PBE-GGA; raw total energy = -16.583 eV/f.u.; E_form = 159 meV per atom; energy above the lowest structure with this stoichiometry = 0.068 eV/atom; SG = No. 65
1.0
-3.299 3.535 -1.325
-0.514 -0.508 4.961
2.165 2.189 0.448
Au Fe In
1 1 2
Cartesian
-0.567 2.862 -0.439
0.825 0.840 2.705
0.000 0.000 0.000
-1.907 1.514 1.818

Record 19
K3Tm3ZrS8, optimized geometry, DFT PBE-GGA; raw total energy = -85.742 eV/f.u.; uncorrected formation energy = -1831 meV per atom; SG = No. 166
1.0
7.841 0.000 0.000
-3.920 6.790 -0.028
0.000 -4.499 7.510
K Tm Zr S
3 3 1 8
Cartesian
0.000 0.000 0.000
-1.960 3.395 -0.014
1.960 3.395 -0.014
3.920 -2.249 3.755
1.960 1.146 3.741
-1.960 1.146 3.741
0.000 -2.249 3.755
0.000 2.271 2.251
3.920 0.020 5.231
3.920 2.355 2.293
0.000 -0.063 5.189
5.953 -1.165 2.308
-2.032 3.457 5.175
1.888 -1.165 2.308
2.032 3.457 5.175

Record 20
YGeSeCl2, optimized geometry, DFT PBE-GGA; raw total energy = -23.075 eV/f.u.; uncorrected formation energy = -963 meV per atom; SG = No. 123
1.0
-1.492 4.883 -0.746
-4.422 -1.828 -3.122
-2.907 -0.238 4.256
Y Ge Se Cl
1 1 1 2
Cartesian
0.000 0.000 0.000
-4.410 1.409 0.194
-2.211 -0.914 -1.561
-1.453 -0.119 2.128
-0.746 2.441 -0.373

Record 21
AcHo2Er3, optimized geometry, DFT PBE-GGA; raw total energy = -26.292 eV/f.u.; E_form = 110 meV per atom; energy above the lowest structure with this stoichiometry = 0.000 eV/atom; SG = No. 15
1.0
-1.734 1.940 -6.187
-4.782 -4.684 0.484
-4.124 6.529 4.599
Ac Ho Er
2 4 6
Cartesian
-5.584 -2.553 1.132
-5.057 6.338 -2.235
-3.848 0.725 -4.610
-3.244 3.028 -2.047
-6.793 3.060 3.507
-7.397 0.758 0.944
-4.097 1.990 1.407
-9.148 3.881 0.976
-6.543 1.795 -2.510
-1.492 -0.096 -2.080
-4.541 -0.287 -1.150
-6.100 4.072 0.047

Record 22
NaHg2Pd5, optimized geometry, DFT PBE-GGA; raw total energy = -28.562 eV/f.u.; E_form = -84 meV per atom; energy above the lowest structure with this stoichiometry = 0.077 eV/atom; SG = No. 71
1.0
-0.465 1.204 -2.584
-7.169 -0.785 -0.690
-2.720 6.447 1.880
Na Hg Pd
1 2 5
Cartesian
0.000 0.000 0.000
-7.810 5.171 -1.028
-2.544 1.695 -0.366
-4.945 2.831 0.595
-4.994 1.221 -1.761
-5.360 5.646 0.367
-7.386 2.352 -0.804
-2.968 4.514 -0.591

Record 23
ZrCrBrN2, optimized geometry, DFT PBE-GGA; raw total energy = -25.517 eV/f.u.; uncorrected formation energy = 2196 meV per atom; energy above the lowest structure with this stoichiometry = 1.873 eV/atom; SG = No. 123
1.0
-2.108 0.755 -3.498
-1.684 -4.737 -0.008
-3.298 1.168 2.239
Cr Br Zr N
1 1 1 2
Cartesian
-3.544 -1.407 -0.634
0.000 0.000 0.000
-0.842 -2.368 -0.004
-1.649 0.584 1.119
-1.054 0.378 -1.749

Record 24
La3Pm4Pr8, optimized geometry, DFT PBE-GGA; raw total energy = -67.265 eV/f.u.; E_form = 317 meV per atom; SG = No. 12
1.0
-1.993 -6.671 -0.958
9.065 1.392 -2.683
2.933 1.552 8.961
La Pm Pr
3 4 8
Cartesian
3.536 -2.639 -1.820
0.470 -2.559 4.001
5.002 -1.863 2.660
-0.996 -3.335 -0.479
4.532 0.696 -1.341
0.000 0.000 0.000
1.466 0.776 4.480
2.165 -2.693 1.177
6.909 1.449 1.411
1.188 -5.821 0.705
6.494 -1.902 -0.172
3.511 -1.824 5.492
8.817 2.095 4.615
5.088 1.496 4.867
7.840 -1.033 4.143

Record 25
La8Sb4Te3As, optimized geometry, DFT PBE-GGA; raw total energy = -93.428 eV/f.u.; uncorrected formation energy = -1465 meV per atom; SG = No. 166
1.0
-2.373 7.215 -5.142
4.081 -3.819 -7.242
-6.414 -4.634 4.637
La Sb Te As
8 4 3 1
Cartesian
2.447 -1.121 -6.655
-0.655 -3.361 -4.413
-2.773 -1.434 -0.733
1.221 2.607 -9.311
-5.926 -3.846 1.565
-1.933 0.196 -7.013
-4.051 2.122 -3.333
-7.152 -0.118 -1.092
-1.186 3.607 -2.571
-4.393 1.290 -0.252
0.000 0.000 0.000
-3.207 -2.317 2.319
0.854 1.698 -6.192
-2.353 -0.619 -3.873
-1.166 -4.227 -1.302
2.041 -1.910 -3.621